Record 1
First-principles (GGA-PBE) data for crystalline RbZnIF2 at its relaxed geometry, as listed in the Alexandria database.

Cell and atoms, written as POSCAR:
```
RbZnIF2
1.0
4.626 0.000 0.000
0.000 5.328 0.000
0.000 0.000 4.626
I Zn Rb F
1 1 1 2
direct
0.000 0.500 0.000
0.000 0.000 0.000
0.500 0.500 0.500
0.000 0.000 0.500
0.500 0.000 0.000
```

## Properties
**ρ**: 4.60 Mg/m³
**Offset from the most stable computed form**: 152 kJ/mol of formula units
**Raw total energy**: -15.90 eV per cell
**ΔE_f (raw)**: -1.672 eV per atom
**V**: 114 Å³/cell
**N(E_F)**: 0.00 states/eV per cell
**SG**: No. 123

Record 2
First-principles (GGA-PBE) data for crystalline Rb2ZnIF6 at its relaxed geometry, as listed in the Alexandria database.

Cell and atoms, written as POSCAR:
```
Rb2ZnIF6
1.0
-0.279 4.173 -5.364
-0.136 -5.371 -4.172
-4.526 -0.639 -4.575
I Zn Rb F
1 1 2 6
direct
0.000 0.000 0.000
0.500 0.500 0.000
0.750 0.250 0.500
0.250 0.750 0.500
0.240 0.240 0.520
0.760 0.760 0.480
0.297 0.297 0.000
0.703 0.703 0.000
0.703 0.297 0.000
0.297 0.703 0.000
```

## Properties
**ρ**: 3.96 Mg/m³
**Raw total energy**: -36.44 eV per cell
**ΔE_f (raw)**: -2.045 eV per atom
**V**: 200 Å³/cell
**N(E_F)**: 1.80 states/eV per cell
**SG**: No. 139